Ce5HOs2: optimized geometry, PBE.

Calculated values
The uncorrected energy comes out at -7.0275 eV per atom. Its calculated volume is 21.2 Å³ per atom.

```
Ce5HOs2
1.0
-3.2775 4.4139 4.3032
2.6838 -4.1265 4.7224
3.2989 1.8376 -4.4824
Ce H Os
5 1 2
Direct
0.8352 0.2650 0.0801
0.2335 0.2345 0.8470
0.6095 0.6036 0.8324
0.2316 0.8031 0.0847
0.7257 0.7351 0.5267
0.1536 0.1500 0.1493
0.2635 0.8027 0.5982
0.7245 0.1829 0.4356
```